one | K2TeAu2 | GGA-PBE | relaxed

Unit cell a=7.601 b=7.601 c=7.601 alpha=142.64 beta=142.64 gamma=53.87
Atoms (fractional coordinates):
1 K 0.250 0.750 0.500
2 K 0.750 0.250 0.500
3 Te 0.000 0.000 0.000
4 Au 0.402 0.402 0.000
5 Au 0.598 0.598 0.000

Crystal system = tetragonal
Magnetization = 0.0000 μB per atom
D(E_F) = 4.1 states/eV/cell

two | K2TeAu2 | GGA-PBE | relaxed

Unit cell a=7.669 b=7.669 c=5.050 alpha=90.00 beta=90.00 gamma=90.00
Atoms (fractional coordinates):
1 K 0.178 0.322 0.000
2 K 0.322 0.822 0.000
3 K 0.678 0.178 0.000
4 K 0.822 0.678 0.000
5 Te 0.000 0.000 0.500
6 Te 0.500 0.500 0.500
7 Au 0.128 0.628 0.500
8 Au 0.372 0.128 0.500
9 Au 0.628 0.872 0.500
10 Au 0.872 0.372 0.500

Crystal system = tetragonal
Magnetization = 0.0000 μB per atom
D(E_F) = 0.0 states/eV/cell

Name the most stable of them. two.